Material: InCuAu
Method: DFT, GGA-PBE
State: optimized geometry

Geometry as POSCAR:
```
InCuAu
1.0
-1.766 1.766 4.279
1.766 -1.766 4.279
1.766 1.766 -4.279
In Cu Au
1 1 1
Direct
0.000 0.000 0.000 In
0.669 0.669 0.000 Cu
0.326 0.326 0.000 Au
```

Output
As for the space group: No. 107. As for the relative energy among the computed polymorphs: 4 meV/atom. The calculation puts the energy at -3.420 eV/atom. The value obtained for the formation energy is -0.15 eV/f.u.


Material: TeRuPb
Method: DFT, GGA-PBE
State: optimized geometry

Geometry as POSCAR:
```
TeRuPb
1.0
0.000 3.295 3.295
3.295 0.000 3.295
3.295 3.295 0.000
Te Ru Pb
1 1 1
Direct
0.000 0.000 0.000 Te
0.250 0.250 0.250 Ru
0.500 0.500 0.500 Pb
```

Output
As for the space group: No. 216. As for the relative energy among the computed polymorphs: 67 meV/atom. The calculation puts the energy at -5.203 eV/atom. As for the energy relative to the elements, uncorrected: 172 meV/atom.


Material: SrCoPb2
Method: DFT, GGA-PBE
State: optimized geometry

Geometry as POSCAR:
```
SrCoPb2
1.0
0.000 3.800 3.800
3.800 0.000 3.800
3.800 3.800 0.000
Sr Co Pb
1 1 2
Direct
0.000 0.000 0.000 Sr
0.250 0.250 0.250 Co
0.500 0.500 0.500 Pb
0.750 0.750 0.750 Pb
```

Output
As for the space group: No. 216. The calculation puts the energy at -3.751 eV/atom. The value obtained for the formation energy is 1.20 eV/f.u.


Material: NaCa2SmS4
Method: DFT, GGA-PBE
State: optimized geometry

Geometry as POSCAR:
```
NaCa2SmS4
1.0
6.972 0.000 0.000
0.000 4.064 0.000
-2.229 0.000 6.609
Na Ca Sm S
1 2 1 4
Direct
0.000 0.000 0.000 Na
0.500 0.000 0.500 Ca
0.500 0.500 0.000 Ca
0.000 0.500 0.500 Sm
0.246 0.000 0.744 S
0.255 0.500 0.261 S
0.745 0.500 0.739 S
0.754 0.000 0.256 S
```

Output
As for the space group: No. 10. The calculation puts the energy at -5.274 eV/atom. As for the energy relative to the elements, uncorrected: -1956 meV/atom.


Material: LiCe3Pr3S8
Method: DFT, GGA-PBE
State: optimized geometry

Geometry as POSCAR:
```
LiCe3Pr3S8
1.0
4.023 2.323 6.623
-4.023 2.323 6.623
0.000 -4.646 6.623
Li Ce Pr S
1 3 3 8
Direct
0.000 0.000 0.000 Li
0.000 0.500 0.500 Ce
0.500 0.000 0.500 Ce
0.500 0.500 0.000 Ce
0.000 0.000 0.500 Pr
0.000 0.500 0.000 Pr
0.500 0.000 0.000 Pr
0.243 0.243 0.752 S
0.243 0.752 0.243 S
0.248 0.757 0.757 S
0.252 0.252 0.252 S
0.748 0.748 0.748 S
0.752 0.243 0.243 S
0.757 0.248 0.757 S
0.757 0.757 0.248 S
```

Output
As for the space group: No. 166. The calculation puts the energy at -6.415 eV/atom. As for the energy relative to the elements, uncorrected: -1944 meV/atom.


Material: RhSe2Br
Method: DFT, GGA-PBE
State: optimized geometry

Geometry as POSCAR:
```
RhSe2Br
1.0
4.444 0.000 0.000
0.000 3.715 0.000
-2.193 0.000 6.891
Rh Se Br
1 2 1
Direct
0.000 0.000 0.000 Rh
0.115 0.500 0.234 Se
0.580 0.000 0.162 Se
0.873 0.500 0.743 Br
```

Output
As for the space group: No. 6. As for the relative energy among the computed polymorphs: 150 meV/atom. The calculation puts the energy at -4.161 eV/atom. As for the energy relative to the elements, uncorrected: -162 meV/atom.


Material: Sc2BeNi
Method: DFT, GGA-PBE
State: optimized geometry

Geometry as POSCAR:
```
Sc2BeNi
1.0
-3.542 3.542 2.711
3.542 -3.542 2.711
3.542 3.542 -2.711
Sc Be Ni
4 2 2
Direct
0.098 0.625 0.973 Sc
0.375 0.348 0.473 Sc
0.652 0.125 0.027 Sc
0.875 0.902 0.527 Sc
0.250 0.750 0.500 Be
0.500 0.500 0.000 Be
0.000 0.000 0.000 Ni
0.750 0.250 0.500 Ni
```

Output
As for the space group: No. 122. The calculation puts the energy at -5.306 eV/atom. The value obtained for the formation energy is 0.95 eV/f.u.


Material: GeTeI
Method: DFT, GGA-PBE
State: optimized geometry

Geometry as POSCAR:
```
GeTeI
1.0
4.527 0.000 0.000
0.000 5.109 0.000
-0.395 -0.012 9.943
Ge Te I
2 2 2
Direct
0.045 0.250 0.367 Ge
0.955 0.750 0.633 Ge
0.312 0.750 0.412 Te
0.688 0.250 0.588 Te
0.317 0.750 0.847 I
0.683 0.250 0.153 I
```

Output
As for the space group: No. 2. As for the relative energy among the computed polymorphs: 6 meV/atom. The calculation puts the energy at -3.214 eV/atom. As for the energy relative to the elements, uncorrected: -111 meV/atom.


Material: LiGaSe
Method: DFT, GGA-PBE
State: optimized geometry

Geometry as POSCAR:
```
LiGaSe
1.0
4.687 0.000 0.000
0.000 4.300 0.000
-2.241 0.000 6.206
Li Ga Se
2 2 2
Direct
0.226 0.250 0.478 Li
0.774 0.750 0.522 Li
0.210 0.750 0.068 Ga
0.790 0.250 0.932 Ga
0.365 0.750 0.716 Se
0.635 0.250 0.284 Se
```

Output
As for the space group: No. 11. As for the relative energy among the computed polymorphs: 65 meV/atom. The calculation puts the energy at -3.516 eV/atom. As for the energy relative to the elements, uncorrected: -708 meV/atom.


Material: PrSc2Sb
Method: DFT, GGA-PBE
State: optimized geometry

Geometry as POSCAR:
```
PrSc2Sb
1.0
4.717 0.000 0.000
0.000 4.717 0.000
0.000 0.000 4.550
Pr Sc Sb
1 2 1
Direct
0.000 0.000 0.000 Pr
0.000 0.500 0.500 Sc
0.500 0.000 0.500 Sc
0.500 0.500 0.000 Sb
```

Output
As for the space group: No. 123. As for the relative energy among the computed polymorphs: 92 meV/atom. The calculation puts the energy at -5.857 eV/atom. As for the energy relative to the elements, uncorrected: -465 meV/atom.


Material: Al3ZnAg4
Method: DFT, GGA-PBE
State: optimized geometry

Geometry as POSCAR:
```
Al3ZnAg4
1.0
9.733 -1.477 0.000
9.733 1.477 0.000
-0.305 0.000 4.773
Al Zn Ag
3 1 4
Direct
0.000 0.000 0.000 Al
0.230 0.230 0.241 Al
0.770 0.770 0.759 Al
0.500 0.500 0.500 Zn
0.148 0.148 0.705 Ag
0.390 0.390 0.808 Ag
0.610 0.610 0.192 Ag
0.852 0.852 0.295 Ag
```

Output
As for the space group: No. 12. As for the relative energy among the computed polymorphs: 14 meV/atom. The calculation puts the energy at -2.985 eV/atom. The value obtained for the formation energy is 0.03 eV/f.u.


Material: Tb2HSe
Method: DFT, GGA-PBE
State: optimized geometry

Geometry as POSCAR:
```
Tb2HSe
1.0
1.885 1.089 6.599
-1.885 1.089 6.599
0.000 -2.177 6.599
Tb H Se
2 1 1
Direct
0.237 0.237 0.237 Tb
0.763 0.763 0.763 Tb
0.500 0.500 0.500 H
0.000 0.000 0.000 Se
```

Output
As for the space group: No. 166. As for the relative energy among the computed polymorphs: 0 meV/atom. The calculation puts the energy at -5.004 eV/atom.


What did the fifth record say?
Material: LiCe3Pr3S8
Method: DFT, GGA-PBE
State: optimized geometry

Geometry as POSCAR:
```
LiCe3Pr3S8
1.0
4.023 2.323 6.623
-4.023 2.323 6.623
0.000 -4.646 6.623
Li Ce Pr S
1 3 3 8
Direct
0.000 0.000 0.000 Li
0.000 0.500 0.500 Ce
0.500 0.000 0.500 Ce
0.500 0.500 0.000 Ce
0.000 0.000 0.500 Pr
0.000 0.500 0.000 Pr
0.500 0.000 0.000 Pr
0.243 0.243 0.752 S
0.243 0.752 0.243 S
0.248 0.757 0.757 S
0.252 0.252 0.252 S
0.748 0.748 0.748 S
0.752 0.243 0.243 S
0.757 0.248 0.757 S
0.757 0.757 0.248 S
```

Output
As for the space group: No. 166. The calculation puts the energy at -6.415 eV/atom. As for the energy relative to the elements, uncorrected: -1944 meV/atom.


Among the records above, which one has the highest energy?
Al3ZnAg4


What did the fourth record say?
Material: NaCa2SmS4
Method: DFT, GGA-PBE
State: optimized geometry

Geometry as POSCAR:
```
NaCa2SmS4
1.0
6.972 0.000 0.000
0.000 4.064 0.000
-2.229 0.000 6.609
Na Ca Sm S
1 2 1 4
Direct
0.000 0.000 0.000 Na
0.500 0.000 0.500 Ca
0.500 0.500 0.000 Ca
0.000 0.500 0.500 Sm
0.246 0.000 0.744 S
0.255 0.500 0.261 S
0.745 0.500 0.739 S
0.754 0.000 0.256 S
```

Output
As for the space group: No. 10. The calculation puts the energy at -5.274 eV/atom. As for the energy relative to the elements, uncorrected: -1956 meV/atom.


What did the first record say?
Material: InCuAu
Method: DFT, GGA-PBE
State: optimized geometry

Geometry as POSCAR:
```
InCuAu
1.0
-1.766 1.766 4.279
1.766 -1.766 4.279
1.766 1.766 -4.279
In Cu Au
1 1 1
Direct
0.000 0.000 0.000 In
0.669 0.669 0.000 Cu
0.326 0.326 0.000 Au
```

Output
As for the space group: No. 107. As for the relative energy among the computed polymorphs: 4 meV/atom. The calculation puts the energy at -3.420 eV/atom. The value obtained for the formation energy is -0.15 eV/f.u.